DFT (PBE-GGA) results for a relaxed structure of Cd2NiAu.

Summary:
The calculation puts the formation energy at -0.02 eV per formula unit. For the polymorph energy (0 for the lowest one), the calculation gives 0.08 eV per formula unit. Its total energy is -2.73 eV per atom.

Cell: 6.773 4.754 3.192 Å, 90.04 61.82 123.63°
Sites, in units of the cell vectors:
Ni: 0.000 0.500 0.500
Au: 0.500 0.500 0.000
Cd: 0.500 0.000 0.500
Cd: 0.000 0.000 0.000